PmCr2RhO8, optimized geometry, DFT PBE with a Hubbard U; volume = 12.1 Å³ per atom; N(E_F) = 1.87 states/eV/cell; theoretical density = 5.476 g/cm3; final energy = -6.987 eV/atom
1.0
-2.681 2.321 -3.664
2.382 -2.812 -3.524
-3.830 -3.667 4.027
Pm Cr Rh O
1 2 1 8
Cartesian
0.000 0.000 0.000
-0.150 -0.246 -3.594
-0.799 -3.362 -1.545
-3.330 -0.796 -1.616
-0.533 -1.306 -4.939
-1.060 -0.457 -2.108
-2.418 -3.011 -1.845
-0.434 -4.947 -1.110
-0.354 -2.408 -0.232
0.010 -3.084 -2.995
-2.310 -4.262 0.848
-4.354 -2.291 -0.123